DFT (GGA-PBE) results for crystalline KTiOs3 at its relaxed geometry.

The space group is Pm-3m (No. 221) and the conventional cell measures 4.719, 4.719 and 4.719 Å, with angles of 90.00, 90.00 and 90.00 degrees. The distinct sites, in fractional coordinates, are K at (0.000, 0.000, 0.000), Ti at (0.500, 0.500, 0.500) and Os at (0.000, 0.500, 0.500).

The theoretical density comes out at 10.4 g cm⁻³. As for the energy relative to the elements: 1.827 eV per atom.